The following is a PBE-GGA calculation of a geometry-optimized AcPr2NdH structure, from Alexandria.

```
5
Lattice="-2.976 0.961 -4.270 2.882 -3.464 -2.788 -3.301 -3.893 1.424" Properties=species:S:1:pos:R:3 pbc="T T T"
Ac -1.697 -3.198 -2.817
Pr -1.650 -1.946 0.712
Pr 1.441 -1.732 -1.394
Nd -1.488 0.481 -2.135
H 0.000 0.000 0.000
```

- Density: 7.31 Mg/m³
- Raw total energy: -0.3325 Ry per atom
- Space group: P4/mmm, No. 123